DFT (PBE) results for a relaxed structure of Ca2TlZnH.

Cell: 5.1068 5.1068 4.0613 Å, 90.00 90.00 90.00°
Closest atoms and distances in Å follow each position.
Sites, in units of the cell vectors:
Tl  0.5000  0.5000  0.5000  8 Ca 3.26, 4 Zn 3.61
H  0.0000  0.0000  0.0000  2 Zn 2.03
Ca  0.0000  0.5000  0.0000  2 H 2.55
Zn  0.0000  0.0000  0.5000  2 H 2.03
Ca  0.5000  0.0000  0.0000  2 H 2.55

Results
Total DFT energy (no corrections) ... -2.497 eV/atom